Record 1
Computed, not measured: a geometry-optimized Np3UGa2 structure at the PBE level of DFT.

Formation energy from the elements = 0.62 eV/f.u.
Total magnetization = 9.5 Bohr magnetons per cell
SG = P-1
Raw total energy = -9.26 eV/atom

Cell: 8.976 9.002 21.654 Å, 36.85 161.71 129.61°
Site moments in Bohr magnetons follow the coordinates.
Element x y z (fractional)
Ga 0.676 0.098 0.289  -0.02
Np 0.128 0.909 0.234  -2.62
Ga 0.678 0.599 0.790  -0.02
Ga 0.322 0.401 0.210  -0.02
Np 0.858 0.236 0.186  3.54
Np 0.411 0.380 0.641  3.67
Ga 0.324 0.902 0.711  -0.02
U 0.209 0.411 0.773  -0.10
U 0.791 0.589 0.227  -0.10
Np 0.142 0.764 0.814  3.54
Np 0.589 0.620 0.359  3.67
Np 0.872 0.091 0.766  -2.62


Record 2
Computed, not measured: a geometry-optimized NpU2Ga9 structure at the PBE level of DFT.

Formation energy from the elements = -2.72 eV/f.u.
Total magnetization = 8.7 Bohr magnetons per cell
SG = P4/mmm
Raw total energy = -5.46 eV/atom

Cell: 4.265 4.265 12.788 Å, 90.00 90.00 90.00°
Site moments in Bohr magnetons follow the coordinates.
Element x y z (fractional)
Ga 0.000 0.500 0.500  0.03
U 0.000 0.000 0.333  2.04
Ga 0.500 0.500 0.000  0.02
Ga 0.500 0.500 0.333  0.03
Np 0.000 0.000 0.000  3.66
Ga 0.000 0.500 0.166  0.03
Ga 0.500 0.500 0.667  0.03
Ga 0.500 0.000 0.834  0.03
Ga 0.500 0.000 0.166  0.03
Ga 0.500 0.000 0.500  0.03
U 0.000 0.000 0.667  2.04
Ga 0.000 0.500 0.834  0.03


Record 3
Computed, not measured: a geometry-optimized Np2U5Ga3 structure at the PBE level of DFT.

Formation energy from the elements = 1.39 eV/f.u.
Total magnetization = 10.9 Bohr magnetons per cell
SG = C2/c
Raw total energy = -9.00 eV/atom

Cell: 8.640 8.093 8.153 Å, 103.81 106.78 119.08°
Site moments in Bohr magnetons follow the coordinates.
Element x y z (fractional)
U 0.022 0.272 0.543  0.41
Ga 0.732 0.982 0.964  0.00
U 0.467 0.717 0.433  0.50
Np 0.325 0.870 0.708  2.58
Ga 0.214 0.840 0.248  -0.01
U 0.978 0.728 0.457  0.41
Ga 0.786 0.160 0.752  -0.01
U 0.356 0.206 0.778  0.01
U 0.250 0.500 0.000  -0.84
Ga 0.466 0.592 0.752  -0.01
Np 0.883 0.838 0.708  2.58
Np 0.675 0.130 0.292  2.58
U 0.921 0.572 0.778  0.01
U 0.644 0.794 0.222  0.01
U 0.750 0.500 0.000  -0.84
Np 0.117 0.162 0.292  2.58
Ga 0.534 0.408 0.248  -0.01
U 0.079 0.428 0.222  0.01
Ga 0.268 0.018 0.036  0.00
U 0.533 0.283 0.567  0.50


Record 4
Computed, not measured: a geometry-optimized NpU2Ga6 structure at the PBE level of DFT.

Formation energy from the elements = -1.64 eV/f.u.
Total magnetization = 7.9 Bohr magnetons per cell
SG = R-3m
Raw total energy = -6.15 eV/atom

Cell: 5.575 5.575 5.575 Å, 94.93 94.93 94.93°
Site moments in Bohr magnetons follow the coordinates.
Element x y z (fractional)
Np 0.000 0.000 0.000  3.95
Ga 0.500 0.837 0.163  -0.02
Ga 0.500 0.163 0.837  -0.02
Ga 0.163 0.500 0.837  -0.02
U 0.651 0.651 0.651  1.86
U 0.349 0.349 0.349  1.86
Ga 0.837 0.163 0.500  -0.02
Ga 0.163 0.837 0.500  -0.02
Ga 0.837 0.500 0.163  -0.02


Record 5
Computed, not measured: a geometry-optimized Np2UGa6 structure at the PBE level of DFT.

Formation energy from the elements = -1.44 eV/f.u.
Total magnetization = 10.0 Bohr magnetons per cell
SG = P6/mmm
Raw total energy = -6.31 eV/atom

Cell: 2.911 8.248 8.248 Å, 59.99 90.00 90.00°
Site moments in Bohr magnetons follow the coordinates.
Element x y z (fractional)
Ga 0.500 0.667 0.000  -0.04
Ga 0.500 0.000 0.333  -0.04
U 0.000 0.000 0.000  2.21
Ga 0.500 0.333 0.000  -0.04
Ga 0.500 0.667 0.333  -0.04
Np 0.000 0.333 0.333  3.83
Ga 0.500 0.333 0.667  -0.04
Np 0.000 0.667 0.667  3.83
Ga 0.500 0.000 0.667  -0.04


Record 6
Computed, not measured: a geometry-optimized NpVGa4 structure at the PBE level of DFT.

Formation energy from the elements = 0.47 eV/f.u.
Total magnetization = 5.1 Bohr magnetons per cell
SG = F-43m
Raw total energy = -5.62 eV/atom

Cell: 5.296 5.296 5.296 Å, 60.00 60.00 60.00°
Site moments in Bohr magnetons follow the coordinates.
Element x y z (fractional)
Ga 0.625 0.625 0.124  -0.01
Ga 0.625 0.625 0.625  -0.01
V 0.000 0.000 0.000  0.89
Ga 0.124 0.625 0.625  -0.01
Np 0.250 0.250 0.250  3.85
Ga 0.625 0.124 0.625  -0.01


Record 7
Computed, not measured: a geometry-optimized Np4VGa12 structure at the PBE level of DFT.

Formation energy from the elements = -3.24 eV/f.u.
Total magnetization = 15.0 Bohr magnetons per cell
SG = Im-3m
Raw total energy = -5.91 eV/atom

Cell: 7.468 7.468 7.468 Å, 109.47 109.47 109.47°
Site moments in Bohr magnetons follow the coordinates.
Element x y z (fractional)
Ga 0.710 0.710 0.000  0.00
Ga 0.710 0.000 0.710  0.00
Ga 0.000 0.290 0.290  0.00
Np 0.500 0.000 0.000  3.72
Np 0.500 0.500 0.500  3.72
Np 0.000 0.000 0.500  3.72
Ga 0.000 0.710 0.710  0.00
Ga 0.290 0.000 0.290  0.00
Ga 0.500 0.250 0.750  0.01
Ga 0.750 0.500 0.250  0.01
Ga 0.250 0.500 0.750  0.01
Ga 0.500 0.750 0.250  0.01
Ga 0.290 0.290 0.000  0.00
V 0.000 0.000 0.000  -0.93
Ga 0.250 0.750 0.500  0.01
Ga 0.750 0.250 0.500  0.01
Np 0.000 0.500 0.000  3.72


Record 8
Computed, not measured: a geometry-optimized Np4Ga12W structure at the PBE level of DFT.

Formation energy from the elements = -2.54 eV/f.u.
Total magnetization = 15.7 Bohr magnetons per cell
SG = Im-3m
Raw total energy = -6.09 eV/atom

Cell: 7.488 7.488 7.488 Å, 109.47 109.47 109.47°
Site moments in Bohr magnetons follow the coordinates.
Element x y z (fractional)
Ga 0.705 0.705 0.000  0.00
Np 0.500 0.000 0.000  3.71
Ga 0.295 0.000 0.295  0.00
W 0.000 0.000 0.000  -0.18
Ga 0.750 0.500 0.250  0.01
Ga 0.295 0.295 0.000  0.00
Ga 0.250 0.500 0.750  0.01
Ga 0.500 0.250 0.750  0.01
Np 0.000 0.500 0.000  3.71
Ga 0.705 0.000 0.705  0.00
Ga 0.000 0.295 0.295  0.00
Np 0.000 0.000 0.500  3.71
Ga 0.000 0.705 0.705  0.00
Np 0.500 0.500 0.500  3.71
Ga 0.750 0.250 0.500  0.01
Ga 0.500 0.750 0.250  0.01
Ga 0.250 0.750 0.500  0.01


Record 9
Computed, not measured: a geometry-optimized YNpGa6 structure at the PBE level of DFT.

Formation energy from the elements = -3.01 eV/f.u.
Total magnetization = 3.8 Bohr magnetons per cell
SG = P4/mmm
Raw total energy = -5.07 eV/atom

Cell: 4.264 4.264 8.565 Å, 90.00 90.00 90.00°
Site moments in Bohr magnetons follow the coordinates.
Element x y z (fractional)
Np 0.000 0.000 0.000  3.60
Ga 0.500 0.500 0.500  -0.01
Ga 0.500 0.000 0.247  0.00
Y 0.000 0.000 0.500  -0.01
Ga 0.000 0.500 0.247  0.00
Ga 0.500 0.000 0.753  0.00
Ga 0.500 0.500 0.000  0.02
Ga 0.000 0.500 0.753  0.00


Record 10
Computed, not measured: a geometry-optimized YNp2Ga9 structure at the PBE level of DFT.

Formation energy from the elements = -3.83 eV/f.u.
Total magnetization = 7.7 Bohr magnetons per cell
SG = P4/mmm
Raw total energy = -5.28 eV/atom

Cell: 4.261 4.261 12.851 Å, 90.00 90.00 90.00°
Site moments in Bohr magnetons follow the coordinates.
Element x y z (fractional)
Ga 0.000 0.500 0.500  0.02
Ga 0.500 0.500 0.665  0.02
Np 0.000 0.000 0.332  3.62
Ga 0.000 0.500 0.169  0.00
Ga 0.500 0.000 0.831  0.00
Np 0.000 0.000 0.668  3.62
Y 0.000 0.000 0.000  -0.01
Ga 0.000 0.500 0.831  0.00
Ga 0.500 0.500 0.335  0.02
Ga 0.500 0.000 0.169  0.00
Ga 0.500 0.000 0.500  0.02
Ga 0.500 0.500 0.000  0.00


Record 11
Computed, not measured: a geometry-optimized Y2NpGa9 structure at the PBE level of DFT.

Formation energy from the elements = -5.16 eV/f.u.
Total magnetization = 3.7 Bohr magnetons per cell
SG = P4/mmm
Raw total energy = -4.86 eV/atom

Cell: 4.264 4.264 12.867 Å, 90.00 90.00 90.00°
Site moments in Bohr magnetons follow the coordinates.
Element x y z (fractional)
Y 0.000 0.000 0.334  -0.01
Np 0.000 0.000 0.000  3.60
Ga 0.500 0.000 0.500  -0.01
Ga 0.000 0.500 0.835  0.00
Ga 0.500 0.500 0.332  0.00
Ga 0.000 0.500 0.500  -0.01
Ga 0.500 0.000 0.165  0.00
Ga 0.500 0.500 0.668  0.00
Y 0.000 0.000 0.666  -0.01
Ga 0.500 0.000 0.835  0.00
Ga 0.000 0.500 0.165  0.00
Ga 0.500 0.500 0.000  0.01


Record 12
Computed, not measured: a geometry-optimized YNpGa4 structure at the PBE level of DFT.

Formation energy from the elements = -1.70 eV/f.u.
Total magnetization = 4.8 Bohr magnetons per cell
SG = F-43m
Raw total energy = -5.54 eV/atom

Cell: 5.527 5.527 5.527 Å, 60.00 60.00 60.00°
Site moments in Bohr magnetons follow the coordinates.
Element x y z (fractional)
Ga 0.625 0.625 0.124  0.00
Ga 0.124 0.625 0.625  0.00
Np 0.000 0.000 0.000  4.08
Ga 0.625 0.625 0.625  0.00
Ga 0.625 0.124 0.625  0.00
Y 0.250 0.250 0.250  0.16


Record 13
Computed, not measured: a geometry-optimized YNp4Ga15 structure at the PBE level of DFT.

Formation energy from the elements = -5.43 eV/f.u.
Total magnetization = 15.6 Bohr magnetons per cell
SG = P4/mmm
Raw total energy = -5.45 eV/atom

Cell: 4.260 4.260 21.406 Å, 90.00 90.00 90.00°
Site moments in Bohr magnetons follow the coordinates.
Element x y z (fractional)
Ga 0.000 0.500 0.899  0.00
Ga 0.500 0.500 0.600  0.01
Ga 0.500 0.000 0.300  0.02
Np 0.000 0.000 0.400  3.62
Ga 0.500 0.500 0.799  0.01
Ga 0.500 0.500 0.000  -0.01
Ga 0.000 0.500 0.500  0.02
Np 0.000 0.000 0.600  3.62
Ga 0.500 0.000 0.500  0.02
Ga 0.500 0.500 0.400  0.01
Ga 0.500 0.000 0.899  0.00
Ga 0.500 0.000 0.101  0.00
Y 0.000 0.000 0.000  -0.01
Ga 0.000 0.500 0.101  0.00
Ga 0.500 0.500 0.201  0.01
Np 0.000 0.000 0.200  3.62
Np 0.000 0.000 0.800  3.62
Ga 0.000 0.500 0.700  0.02
Ga 0.500 0.000 0.700  0.02
Ga 0.000 0.500 0.300  0.02


Record 14
Computed, not measured: a geometry-optimized YNp2Ga9 structure at the PBE level of DFT.

Formation energy from the elements = -2.18 eV/f.u.
Total magnetization = 8.8 Bohr magnetons per cell
SG = R-3m
Raw total energy = -5.15 eV/atom

Cell: 5.487 5.487 9.494 Å, 73.20 73.20 60.00°
Site moments in Bohr magnetons follow the coordinates.
Element x y z (fractional)
Np 0.856 0.856 0.432  4.06
Np 0.144 0.144 0.568  4.06
Ga 0.588 0.078 0.746  -0.01
Ga 0.412 0.412 0.254  -0.01
Ga 0.500 0.500 0.500  -0.03
Y 0.000 0.000 0.000  -0.04
Ga 0.412 0.922 0.254  -0.01
Ga 0.665 0.665 0.006  -0.01
Ga 0.588 0.588 0.746  -0.01
Ga 0.078 0.588 0.746  -0.01
Ga 0.335 0.335 0.994  -0.01
Ga 0.922 0.412 0.254  -0.01


Record 15
Computed, not measured: a geometry-optimized NpZn3Ga9 structure at the PBE level of DFT.

Formation energy from the elements = 0.10 eV/f.u.
Total magnetization = 4.2 Bohr magnetons per cell
SG = C2/m
Raw total energy = -3.38 eV/atom

Cell: 5.732 6.731 7.095 Å, 82.17 66.17 70.29°
Site moments in Bohr magnetons follow the coordinates.
Element x y z (fractional)
Ga 0.499 0.210 0.789  -0.01
Np 0.000 0.000 0.000  4.05
Ga 0.501 0.790 0.211  -0.01
Ga 0.288 0.210 0.211  -0.01
Zn 0.500 0.000 0.500  -0.01
Ga 0.998 0.352 0.647  -0.02
Ga 0.000 0.500 0.000  -0.01
Zn 0.000 0.000 0.500  -0.01
Ga 0.644 0.352 0.353  -0.02
Zn 0.500 0.500 0.000  -0.01
Ga 0.002 0.648 0.353  -0.02
Ga 0.712 0.790 0.789  -0.01
Ga 0.356 0.648 0.647  -0.02


Record 16
Computed, not measured: a geometry-optimized Np3ZnGa12 structure at the PBE level of DFT.

Formation energy from the elements = -1.88 eV/f.u.
Total magnetization = 3.9 Bohr magnetons per cell
SG = P4/mmm
Raw total energy = -4.89 eV/atom

Cell: 4.242 4.242 16.831 Å, 90.00 90.00 90.00°
Site moments in Bohr magnetons follow the coordinates.
Element x y z (fractional)
Ga 0.500 0.000 0.887  0.01
Np 0.000 0.000 0.500  -3.68
Ga 0.500 0.500 0.500  -0.02
Np 0.000 0.000 0.242  3.70
Ga 0.500 0.000 0.628  -0.01
Ga 0.500 0.500 0.000  0.01
Zn 0.000 0.000 0.000  -0.01
Np 0.000 0.000 0.758  3.70
Ga 0.000 0.500 0.113  0.01
Ga 0.000 0.500 0.372  -0.01
Ga 0.500 0.500 0.749  0.02
Ga 0.500 0.000 0.372  -0.01
Ga 0.000 0.500 0.887  0.01
Ga 0.500 0.500 0.251  0.02
Ga 0.500 0.000 0.113  0.01
Ga 0.000 0.500 0.628  -0.01


Record 17
Computed, not measured: a geometry-optimized NpZn4Ga3 structure at the PBE level of DFT.

Formation energy from the elements = -0.39 eV/f.u.
Total magnetization = 3.9 Bohr magnetons per cell
SG = P4/mmm
Raw total energy = -3.44 eV/atom

Cell: 4.242 4.242 8.097 Å, 90.00 90.00 90.00°
Site moments in Bohr magnetons follow the coordinates.
Element x y z (fractional)
Zn 0.000 0.500 0.820  -0.02
Np 0.000 0.000 0.500  3.88
Zn 0.500 0.000 0.820  -0.02
Ga 0.000 0.000 0.000  -0.02
Ga 0.500 0.500 0.353  -0.04
Ga 0.500 0.500 0.647  -0.04
Zn 0.000 0.500 0.180  -0.02
Zn 0.500 0.000 0.180  -0.02


Record 18
Computed, not measured: a geometry-optimized NpZn12Ga7 structure at the PBE level of DFT.

Formation energy from the elements = 0.31 eV/f.u.
Total magnetization = 4.2 Bohr magnetons per cell
SG = P-1
Raw total energy = -2.46 eV/atom

Cell: 6.719 7.296 8.862 Å, 107.71 114.30 102.85°
Site moments in Bohr magnetons follow the coordinates.
Element x y z (fractional)
Zn 0.966 0.606 0.623  -0.01
Zn 0.715 0.479 0.764  0.00
Ga 0.144 0.984 0.665  -0.01
Zn 0.650 0.669 0.030  0.00
Np 0.000 0.000 0.000  4.03
Zn 0.319 0.207 0.464  0.00
Ga 0.197 0.633 0.952  -0.01
Zn 0.681 0.793 0.536  0.00
Zn 0.350 0.331 0.970  0.00
Zn 0.285 0.521 0.236  0.00
Ga 0.500 0.000 0.000  -0.01
Zn 0.560 0.068 0.704  0.00
Zn 0.920 0.230 0.674  0.00
Zn 0.034 0.394 0.377  -0.01
Ga 0.571 0.329 0.311  -0.01
Ga 0.429 0.671 0.689  -0.01
Ga 0.803 0.367 0.048  -0.01
Zn 0.440 0.932 0.296  0.00
Zn 0.080 0.770 0.326  0.00
Ga 0.856 0.016 0.335  -0.01


Record 19
Computed, not measured: a geometry-optimized NpZn3Ga structure at the PBE level of DFT.

Formation energy from the elements = -0.16 eV/f.u.
Total magnetization = 1.5 Bohr magnetons per cell
SG = Pnma
Raw total energy = -3.99 eV/atom

Cell: 3.517 8.232 11.771 Å, 90.00 90.00 90.00°
Site moments in Bohr magnetons follow the coordinates.
Element x y z (fractional)
Ga 0.250 0.122 0.604  -0.01
Ga 0.750 0.378 0.104  -0.01
Np 0.750 0.901 0.999  0.41
Zn 0.250 0.878 0.221  0.00
Zn 0.250 0.617 0.109  0.00
Np 0.250 0.099 0.001  0.41
Np 0.750 0.401 0.501  0.41
Zn 0.750 0.116 0.223  0.00
Ga 0.750 0.878 0.396  -0.01
Zn 0.750 0.622 0.721  0.00
Zn 0.250 0.384 0.723  0.00
Ga 0.250 0.622 0.896  -0.01
Zn 0.250 0.884 0.777  0.00
Zn 0.750 0.122 0.779  0.00
Zn 0.750 0.883 0.609  0.00
Zn 0.750 0.383 0.891  0.00
Zn 0.750 0.616 0.277  0.00
Zn 0.250 0.117 0.391  0.00
Zn 0.250 0.378 0.279  0.00
Np 0.250 0.599 0.499  0.41